1.
An optimized crystal structure of UReSi2Ir, computed with GGA-PBE.

abc: 5.661 5.661 5.661
angles: 136.77 136.77 62.80
Fractional positions:
U 0.000 0.000 0.000
Re 0.750 0.250 0.500
Si 0.377 0.377 0.000
Si 0.623 0.623 0.000
Ir 0.250 0.750 0.500

Values from the calculation:
**Magnetization**: 1.5 μB/f.u.
**Formation energy from raw total energies**: -0.56 eV per atom
**Crystal system**: tetragonal
**Density**: 13.29 g/cm³


2.
An optimized crystal structure of ZnHgW2, computed with GGA-PBE.

abc: 3.853 3.853 4.493
angles: 90.00 90.00 90.00
Fractional positions:
Zn 0.000 0.000 0.000
Hg 0.500 0.500 0.000
W 0.000 0.500 0.500
W 0.500 0.000 0.500

Values from the calculation:
**Magnetization**: 0.0 μB/f.u.
**DFT formation energy**: 0.621 eV per atom
**Crystal system**: tetragonal
**Density**: 15.77 g/cm³


3.
An optimized crystal structure of BeRePCl2, computed with GGA-PBE.

abc: 4.881 4.881 4.629
angles: 90.00 90.00 90.00
Fractional positions:
Be 0.000 0.000 0.000
Re 0.500 0.500 0.500
P 0.500 0.500 0.000
Cl 0.000 0.500 0.500
Cl 0.500 0.000 0.500

Values from the calculation:
**Magnetization**: 1.4 μB/f.u.
**Formation energy from raw total energies**: 0.80 eV per atom
**Crystal system**: tetragonal
**Density**: 4.47 g/cm³


4.
An optimized crystal structure of CdCuOs2, computed with GGA-PBE.

abc: 9.321 9.321 9.321
angles: 17.12 17.12 17.12
Fractional positions:
Cd 0.000 0.000 0.000
Cu 0.753 0.753 0.753
Os 0.241 0.241 0.241
Os 0.498 0.498 0.498

Values from the calculation:
**Magnetization**: 0.0 μB/f.u.
**DFT formation energy**: 0.300 eV per atom
**Crystal system**: trigonal
**Density**: 15.10 g/cm³


5.
An optimized crystal structure of NaNd2Tm3Te6, computed with GGA-PBE.

abc: 9.917 9.917 8.913
angles: 104.01 104.01 25.36
Fractional positions:
Na 0.000 0.000 0.000
Nd 0.327 0.327 0.652
Nd 0.673 0.673 0.348
Tm 0.000 0.000 0.500
Tm 0.333 0.333 0.170
Tm 0.667 0.667 0.830
Te 0.160 0.160 0.595
Te 0.169 0.169 0.075
Te 0.498 0.498 0.256
Te 0.502 0.502 0.744
Te 0.831 0.831 0.925
Te 0.840 0.840 0.405

Values from the calculation:
**Magnetization**: 0.0 μB/f.u.
**Formation energy from raw total energies**: -1.31 eV per atom
**Crystal system**: monoclinic
**Density**: 7.23 g/cm³


6.
An optimized crystal structure of NpPaTcSb, computed with GGA-PBE.

abc: 4.926 4.926 4.926
angles: 60.00 60.00 60.00
Fractional positions:
Np 0.000 0.000 0.000
Pa 0.250 0.250 0.250
Tc 0.500 0.500 0.500
Sb 0.750 0.750 0.750

Values from the calculation:
**Magnetization**: 5.7 μB/f.u.
**Formation energy from raw total energies**: 0.05 eV per atom
**Crystal system**: cubic
**Density**: 13.51 g/cm³


7.
An optimized crystal structure of U2Ga4Sn, computed with GGA-PBE.

abc: 4.305 4.305 8.795
angles: 90.00 90.00 90.00
Fractional positions:
U 0.000 0.500 0.243
U 0.500 0.000 0.757
Ga 0.000 0.000 0.000
Ga 0.000 0.500 0.766
Ga 0.500 0.000 0.234
Ga 0.500 0.500 0.000
Sn 0.000 0.000 0.500

Values from the calculation:
**Magnetization**: 5.4 μB/f.u.
**DFT formation energy**: 0.141 eV per atom
**Crystal system**: tetragonal
**Density**: 8.90 g/cm³


8.
An optimized crystal structure of LiIrPb2O8, computed with GGA-PBE.

abc: 4.778 6.673 4.964
angles: 90.00 92.57 90.00
Fractional positions:
Li 0.000 0.000 0.000
Ir 0.000 0.500 0.000
Pb 0.500 0.241 0.500
Pb 0.500 0.759 0.500
O 0.211 0.293 0.847
O 0.211 0.707 0.847
O 0.257 0.500 0.323
O 0.270 0.000 0.310
O 0.730 0.000 0.690
O 0.743 0.500 0.677
O 0.789 0.293 0.153
O 0.789 0.707 0.153

Values from the calculation:
**Magnetization**: 1.7 μB/f.u.
**Formation energy from raw total energies**: -0.77 eV per atom
**Crystal system**: monoclinic
**Density**: 7.79 g/cm³


- Which formula does entry 2 have?
  ZnHgW2